Entry 1:
Crystalline BaTl6Hg4 at its relaxed geometry. Source: the Alexandria database, functional GGA-PBE.

Geometry as CIF:
```
data_BaTl6Hg4
_cell_length_a 8.528
_cell_length_b 8.528
_cell_length_c 10.462
_cell_angle_alpha 90.00
_cell_angle_beta 90.00
_cell_angle_gamma 90.00
_space_group_name_H-M_alt 'I -4 2 m'
_space_group_IT_number 121
_space_group_name_Hall 'I -4 2'
loop_
_atom_site_label
_atom_site_type_symbol
_atom_site_fract_x
_atom_site_fract_y
_atom_site_fract_z
_atom_site_occupancy
Ba1 Ba 0.000 0.000 0.000 1
Tl1 Tl 0.000 0.500 0.000 1
Tl2 Tl 0.135 0.135 0.651 1
Hg1 Hg 0.226 0.226 0.380 1
```

Output
Energy of formation from the pure elements   -41 meV per atom
Size of the total moment   0.0000 μB per atom


Entry 2:
Crystalline TmLuZnCo at its relaxed geometry. Source: the Alexandria database, functional GGA-PBE.

Geometry as CIF:
```
data_TmLuZnCo
_cell_length_a 6.759
_cell_length_b 6.759
_cell_length_c 6.759
_cell_angle_alpha 90.00
_cell_angle_beta 90.00
_cell_angle_gamma 90.00
_space_group_name_H-M_alt 'F -4 3 m'
_space_group_IT_number 216
_space_group_name_Hall 'F -4 2 3'
loop_
_atom_site_label
_atom_site_type_symbol
_atom_site_fract_x
_atom_site_fract_y
_atom_site_fract_z
_atom_site_occupancy
Tm1 Tm 0.000 0.000 0.000 1
Lu1 Lu 0.000 0.000 0.500 1
Zn1 Zn 0.250 0.250 0.250 1
Co1 Co 0.250 0.250 0.750 1
```

Output
Energy of formation from the pure elements   -279 meV per atom
Size of the total moment   0.0000 μB per atom


Entry 3:
Crystalline Nd5Ir2Au at its relaxed geometry. Source: the Alexandria database, functional GGA-PBE.

Geometry as CIF:
```
data_Nd5Ir2Au
_cell_length_a 7.952
_cell_length_b 7.952
_cell_length_c 13.702
_cell_angle_alpha 90.00
_cell_angle_beta 90.00
_cell_angle_gamma 90.00
_space_group_name_H-M_alt 'I 4/m c m'
_space_group_IT_number 140
_space_group_name_Hall '-I 4 2c'
loop_
_atom_site_label
_atom_site_type_symbol
_atom_site_fract_x
_atom_site_fract_y
_atom_site_fract_z
_atom_site_occupancy
Nd1 Nd 0.000 0.000 0.000 1
Nd2 Nd 0.164 0.336 0.136 1
Ir1 Ir 0.135 0.365 0.500 1
Au1 Au 0.000 0.000 0.250 1
```

Output
Energy of formation from the pure elements   -628 meV per atom
Size of the total moment   0.0000 μB per atom


Entry 4:
Crystalline Tc2HgAs at its relaxed geometry. Source: the Alexandria database, functional GGA-PBE.

Geometry as CIF:
```
data_Tc2HgAs
_cell_length_a 3.106
_cell_length_b 4.206
_cell_length_c 10.340
_cell_angle_alpha 90.00
_cell_angle_beta 90.00
_cell_angle_gamma 90.00
_space_group_name_H-M_alt 'I m m 2'
_space_group_IT_number 44
_space_group_name_Hall 'I 2 -2'
loop_
_atom_site_label
_atom_site_type_symbol
_atom_site_fract_x
_atom_site_fract_y
_atom_site_fract_z
_atom_site_occupancy
Tc1 Tc 0.000 0.000 0.000 1
Tc2 Tc 0.000 0.500 0.243 1
Hg1 Hg 0.000 0.500 0.809 1
As1 As 0.000 0.000 0.557 1
```

Output
Polymorph energy (0 for the lowest one)   331 meV/atom
Energy of formation from the pure elements   462 meV per atom
Size of the total moment   0.0001 μB per atom